Material: Tb6Os2Ru
Method: DFT, GGA-PBE
State: relaxed

Cell: 9.809 7.625 7.049 Å, 83.80 50.60 45.60°
Fractional positions:
Tb 0.125 0.875 0.125
Tb 0.208 0.458 0.542
Tb 0.458 0.208 0.792
Tb 0.542 0.792 0.208
Tb 0.792 0.542 0.458
Tb 0.875 0.125 0.875
Os 0.166 0.166 0.834
Os 0.834 0.834 0.166
Ru 0.500 0.500 0.500

Output
- distance to the lowest polymorph of the same formula (meV/atom) = 0
- energy relative to the elements (eV per atom) = -0.245
- SG = No. 69



Material: TeRuSe2
Method: DFT, GGA-PBE
State: relaxed

Cell: 3.001 3.001 9.856 Å, 90.00 90.00 90.00°
Fractional positions:
Te 0.000 0.000 0.000
Ru 0.500 0.500 0.214
Se 0.000 0.000 0.358
Se 0.500 0.500 0.674

Output
- ΔE_f (raw) (eV per formula unit) = 0.7
- SG = No. 99



Material: Nd4Zn
Method: DFT, GGA-PBE
State: relaxed

Cell: 8.916 8.916 8.916 Å, 135.38 61.14 140.43°
Fractional positions:
Nd 0.084 0.656 0.740
Nd 0.184 0.144 0.328
Nd 0.316 0.644 0.961
Nd 0.416 0.156 0.572
Nd 0.584 0.844 0.428
Nd 0.684 0.356 0.039
Nd 0.816 0.856 0.672
Nd 0.916 0.344 0.260
Zn 0.250 0.250 0.000
Zn 0.750 0.750 0.000

Output
- distance to the lowest polymorph of the same formula (meV/atom) = 71
- energy relative to the elements (eV per atom) = -0.046
- SG = No. 72



Material: DyTm2Sc3Sb6
Method: DFT, GGA-PBE
State: relaxed

Cell: 7.382 7.382 7.370 Å, 99.60 99.60 120.02°
Fractional positions:
Dy 0.000 0.000 0.000
Tm 0.333 0.667 0.000
Tm 0.667 0.333 0.000
Sc 0.166 0.834 0.500
Sc 0.500 0.500 0.500
Sc 0.834 0.166 0.500
Sb 0.088 0.423 0.263
Sb 0.248 0.248 0.738
Sb 0.423 0.088 0.263
Sb 0.577 0.912 0.737
Sb 0.752 0.752 0.262
Sb 0.912 0.577 0.737

Output
- ΔE_f (raw) (eV per formula unit) = -12.1
- SG = No. 12



Material: Al3CrAg
Method: DFT, GGA-PBE
State: relaxed

Cell: 4.665 4.665 4.665 Å, 90.00 90.00 90.00°
Fractional positions:
Al 0.000 0.000 0.500
Al 0.000 0.500 0.000
Al 0.500 0.000 0.000
Cr 0.000 0.000 0.000
Ag 0.500 0.500 0.500

Output
- distance to the lowest polymorph of the same formula (meV/atom) = 0
- energy relative to the elements (eV per atom) = 0.594
- SG = No. 221



Material: KZn3
Method: DFT, GGA-PBE
State: relaxed

Cell: 7.229 7.229 7.229 Å, 90.00 90.00 90.00°
Fractional positions:
K 0.000 0.000 0.000
K 0.000 0.500 0.500
K 0.500 0.000 0.500
K 0.500 0.500 0.000
Zn 0.000 0.000 0.500
Zn 0.000 0.500 0.000
Zn 0.250 0.250 0.250
Zn 0.250 0.250 0.750
Zn 0.250 0.750 0.250
Zn 0.250 0.750 0.750
Zn 0.500 0.000 0.000
Zn 0.500 0.500 0.500
Zn 0.750 0.250 0.250
Zn 0.750 0.250 0.750
Zn 0.750 0.750 0.250
Zn 0.750 0.750 0.750

Output
- distance to the lowest polymorph of the same formula (meV/atom) = 315
- energy relative to the elements (eV per atom) = 0.285
- SG = No. 225



Fermi-level density of states values (in states/eV/cell) by entry order: 4.22, 2.15, 14.90, 2.03, 4.11, 10.10.